# 1
An optimized crystal structure of AcAl11Os. Source: Alexandria via LeMat-Bulk, functional PBE.

Cell lengths 6.9182, 6.9182, 7.3526 Å; angles 97.55, 97.55, 135.27 degrees
Closest atoms and distances in Å follow each position.
Fractional positions:
Ac  0.0000  0.0000  0.0000  18 Al 3.36-3.68, 2 Os 3.71
Al  0.0000  0.0000  0.5000  2 Os 2.63, 8 Al 2.69-2.77
Al  0.0000  0.5000  0.0000  6 Al 2.63-2.74
Al  0.0167  0.3647  0.3636  8 Al 2.71-3.03, 1 Os 2.74
Al  0.2741  0.4985  0.7627  1 Os 2.64, 7 Al 2.69-2.87
Al  0.3647  0.0167  0.3636  8 Al 2.71-3.03, 1 Os 2.74
Al  0.4985  0.2741  0.7627  1 Os 2.64, 7 Al 2.69-2.87
Al  0.5000  0.0000  0.0000  6 Al 2.63-2.74
Al  0.5015  0.7259  0.2373  1 Os 2.64, 7 Al 2.69-2.87
Al  0.6353  0.9833  0.6364  8 Al 2.71-3.03, 1 Os 2.74
Al  0.7259  0.5015  0.2373  1 Os 2.64, 7 Al 2.69-2.87
Al  0.9833  0.6353  0.6364  8 Al 2.71-3.03, 1 Os 2.74
Os  0.5000  0.5000  0.5000  10 Al 2.63-2.74

The density is 5101 kg/m³. For the energy relative to the elements, the calculation gives -0.23 eV/atom. The value obtained for the density of states at the Fermi level is 5.47 states/eV/cell.



# 2
An optimized crystal structure of MgZn4. Source: Alexandria via LeMat-Bulk, functional PBE.

Cell lengths 7.6687, 7.6687, 7.6687 Å; angles 109.47, 109.47, 109.47 degrees
Closest atoms and distances in Å follow each position.
Fractional positions:
Mg  0.0000  0.0000  0.4187  7 Zn 2.80-3.08
Mg  0.0000  0.4187  0.0000  7 Zn 2.80-3.08
Mg  0.4187  0.0000  0.0000  7 Zn 2.80-3.08
Mg  0.5813  0.5813  0.5813  7 Zn 2.80-3.08
Zn  0.0000  0.0000  0.7840  6 Zn 2.54-2.71, 1 Mg 2.80
Zn  0.0000  0.3511  0.3511  7 Zn 2.54-2.64
Zn  0.0000  0.6489  0.6489  7 Zn 2.54-2.64
Zn  0.0000  0.7840  0.0000  6 Zn 2.54-2.71, 1 Mg 2.80
Zn  0.2160  0.2160  0.2160  6 Zn 2.54-2.71, 1 Mg 2.80
Zn  0.2500  0.5000  0.7500  4 Zn 2.58
Zn  0.2500  0.7500  0.5000  4 Zn 2.58
Zn  0.3511  0.0000  0.3511  7 Zn 2.54-2.64
Zn  0.3511  0.3511  0.0000  7 Zn 2.54-2.64
Zn  0.5000  0.2500  0.7500  4 Zn 2.58
Zn  0.5000  0.7500  0.2500  4 Zn 2.58
Zn  0.6489  0.0000  0.6489  7 Zn 2.54-2.64
Zn  0.6489  0.6489  0.0000  7 Zn 2.54-2.64
Zn  0.7500  0.2500  0.5000  4 Zn 2.58
Zn  0.7500  0.5000  0.2500  4 Zn 2.58
Zn  0.7840  0.0000  0.0000  6 Zn 2.54-2.71, 1 Mg 2.80

The density is 5471 kg/m³. For the energy relative to the elements, the calculation gives 0.02 eV/atom. The value obtained for the density of states at the Fermi level is 8.60 states/eV/cell. The calculation puts the energy above the most stable polymorph in this dataset at 55 meV per atom.



# 3
An optimized crystal structure of SbTe2PI. Source: Alexandria via LeMat-Bulk, functional PBE.

Cell lengths 5.3653, 5.3653, 5.2318 Å; angles 90.00, 90.00, 90.00 degrees
Closest atoms and distances in Å follow each position.
Fractional positions:
Sb  0.0000  0.0000  0.0000  8 Te 3.75, 4 I 3.79
Te  0.0000  0.5000  0.5000  2 P 2.68
Te  0.5000  0.0000  0.5000  2 P 2.68
P  0.5000  0.5000  0.5000  2 I 2.62, 4 Te 2.68
I  0.5000  0.5000  0.0000  2 P 2.62

The density is 5897 kg/m³. The calculation puts the formation energy without anion corrections at 0.47 eV/atom. The value obtained for the density of states at the Fermi level is 4.11 states/eV/cell. The calculation puts the energy above the most stable polymorph in this dataset at 0 meV per atom.



# 4
An optimized crystal structure of LiLaTmHg. Source: Alexandria via LeMat-Bulk, functional PBE.

Cell lengths 5.3432, 5.3432, 5.3432 Å; angles 60.00, 60.00, 60.00 degrees
Closest atoms and distances in Å follow each position.
Fractional positions:
Li  0.0000  0.0000  0.0000  4 La 3.27, 4 Tm 3.27
La  0.2500  0.2500  0.2500  4 Hg 3.27, 4 Li 3.27
Tm  0.7500  0.7500  0.7500  4 Hg 3.27, 4 Li 3.27
Hg  0.5000  0.5000  0.5000  4 La 3.27, 4 Tm 3.27

The density is 7934 kg/m³. For the energy relative to the elements, the calculation gives -0.19 eV/atom. The value obtained for the density of states at the Fermi level is 5.04 states/eV/cell.



# 5
An optimized crystal structure of HgPOs2. Source: Alexandria via LeMat-Bulk, functional PBE.

Cell lengths 5.1235, 5.1235, 5.0249 Å; angles 103.85, 103.85, 32.51 degrees
Closest atoms and distances in Å follow each position.
Fractional positions:
Hg  0.0000  0.0000  0.0000  4 Os 2.84-2.95, 2 Hg 2.87, 1 P 2.95
P  0.7869  0.7869  0.3205  4 Os 2.32-2.49
Os  0.2275  0.2275  0.6375  2 P 2.32
Os  0.4952  0.4952  0.5100  2 P 2.49, 2 Os 2.64

The density is 14804 kg/m³. For the energy relative to the elements, the calculation gives 0.60 eV/atom. The value obtained for the density of states at the Fermi level is 3.59 states/eV/cell. The calculation puts the energy above the most stable polymorph in this dataset at 307 meV per atom.



# 6
An optimized crystal structure of Bi3Pb12Au. Source: Alexandria via LeMat-Bulk, functional PBE.

Cell lengths 4.9914, 4.9914, 19.7806 Å; angles 90.00, 90.00, 90.00 degrees
Closest atoms and distances in Å follow each position.
Fractional positions:
Bi  0.0000  0.0000  0.0000  12 Pb 3.53-3.56
Bi  0.0000  0.0000  0.2562  12 Pb 3.53-3.60
Bi  0.0000  0.0000  0.7438  12 Pb 3.53-3.60
Pb  0.0000  0.5000  0.1284  8 Pb 3.53-3.57, 4 Bi 3.55-3.56
Pb  0.0000  0.5000  0.3871  8 Pb 3.35-3.58, 2 Au 3.35, 2 Bi 3.60
Pb  0.0000  0.5000  0.6129  8 Pb 3.35-3.58, 2 Au 3.35, 2 Bi 3.60
Pb  0.0000  0.5000  0.8716  8 Pb 3.53-3.57, 4 Bi 3.55-3.56
Pb  0.5000  0.0000  0.1284  8 Pb 3.53-3.57, 4 Bi 3.55-3.56
Pb  0.5000  0.0000  0.3871  8 Pb 3.35-3.58, 2 Au 3.35, 2 Bi 3.60
Pb  0.5000  0.0000  0.6129  8 Pb 3.35-3.58, 2 Au 3.35, 2 Bi 3.60
Pb  0.5000  0.0000  0.8716  8 Pb 3.53-3.57, 4 Bi 3.55-3.56
Pb  0.5000  0.5000  0.0000  4 Bi 3.53, 8 Pb 3.56
Pb  0.5000  0.5000  0.2573  4 Bi 3.53, 8 Pb 3.57-3.58
Pb  0.5000  0.5000  0.5000  8 Pb 3.35, 4 Au 3.53
Pb  0.5000  0.5000  0.7427  4 Bi 3.53, 8 Pb 3.57-3.58
Au  0.0000  0.0000  0.5000  12 Pb 3.35-3.53

The density is 11154 kg/m³. For the energy relative to the elements, the calculation gives 0.02 eV/atom. The value obtained for the density of states at the Fermi level is 8.94 states/eV/cell.



# 7
An optimized crystal structure of KBe3. Source: Alexandria via LeMat-Bulk, functional PBE.

Cell lengths 4.2112, 4.2112, 4.2112 Å; angles 90.00, 90.00, 90.00 degrees
Closest atoms and distances in Å follow each position.
Fractional positions:
K  0.0000  0.0000  0.0000  12 Be 2.98
Be  0.0000  0.5000  0.5000  4 K 2.98, 8 Be 2.98
Be  0.5000  0.0000  0.5000  4 K 2.98, 8 Be 2.98
Be  0.5000  0.5000  0.0000  4 K 2.98, 8 Be 2.98

The density is 1471 kg/m³. For the energy relative to the elements, the calculation gives 1.54 eV/atom. The value obtained for the density of states at the Fermi level is 1.25 states/eV/cell. The calculation puts the energy above the most stable polymorph in this dataset at 1045 meV per atom.



# 8
An optimized crystal structure of Nd2Al3Ge4. Source: Alexandria via LeMat-Bulk, functional PBE.

Cell lengths 8.1107, 8.1107, 8.0304 Å; angles 90.00, 90.00, 135.92 degrees
Closest atoms and distances in Å follow each position.
Fractional positions:
Nd  0.1144  0.8856  0.9181  8 Ge 3.13-3.24, 4 Al 3.26-3.43
Nd  0.3856  0.6144  0.4181  8 Ge 3.13-3.24, 4 Al 3.26-3.43
Nd  0.6144  0.3856  0.5819  8 Ge 3.13-3.24, 4 Al 3.26-3.43
Nd  0.8856  0.1144  0.0819  8 Ge 3.13-3.24, 4 Al 3.26-3.43
Al  0.0000  0.0000  0.5000  6 Ge 2.62-2.83
Al  0.0341  0.4659  0.7500  3 Ge 2.54-2.65
Al  0.4659  0.0341  0.2500  3 Ge 2.54-2.65
Al  0.5000  0.5000  0.0000  6 Ge 2.62-2.83
Al  0.5341  0.9659  0.7500  3 Ge 2.54-2.65
Al  0.9659  0.5341  0.2500  3 Ge 2.54-2.65
Ge  0.1860  0.8140  0.5520  5 Al 2.65-2.90
Ge  0.2031  0.2969  0.7500  3 Al 2.54-2.62
Ge  0.2969  0.2031  0.2500  3 Al 2.54-2.62
Ge  0.3140  0.6860  0.0520  5 Al 2.65-2.90
Ge  0.6860  0.3140  0.9480  5 Al 2.65-2.90
Ge  0.7031  0.7969  0.7500  3 Al 2.54-2.62
Ge  0.7969  0.7031  0.2500  3 Al 2.54-2.62
Ge  0.8140  0.1860  0.4480  5 Al 2.65-2.90

The density is 5964 kg/m³. For the energy relative to the elements, the calculation gives -0.48 eV/atom. The value obtained for the density of states at the Fermi level is 3.47 states/eV/cell.



# 9
An optimized crystal structure of Li3In6Ga2. Source: Alexandria via LeMat-Bulk, functional PBE.

Cell lengths 5.3595, 5.4637, 8.4431 Å; angles 82.97, 88.84, 81.71 degrees
Closest atoms and distances in Å follow each position.
Fractional positions:
Li  0.0000  0.0000  0.0000  6 In 3.00-3.20, 4 Ga 3.01-3.04, 2 Li 3.16
Li  0.1984  0.9075  0.3559  1 Ga 3.03, 9 In 3.05-3.23, 2 Li 3.16-3.35
Li  0.8016  0.0925  0.6441  1 Ga 3.03, 9 In 3.05-3.23, 2 Li 3.16-3.35
In  0.1224  0.4608  0.1699  2 Ga 2.96-3.02, 4 Li 3.10-3.21, 4 In 3.12-3.22
In  0.2707  0.3524  0.5423  4 Li 3.08-3.22, 7 In 3.09-3.34, 1 Ga 3.31
In  0.3291  0.8277  0.7320  4 Li 3.00-3.23, 5 In 3.09-3.27, 2 Ga 3.09-3.14
In  0.6709  0.1723  0.2680  4 Li 3.00-3.23, 5 In 3.09-3.27, 2 Ga 3.09-3.14
In  0.7293  0.6476  0.4577  4 Li 3.08-3.22, 7 In 3.09-3.34, 1 Ga 3.31
In  0.8776  0.5392  0.8301  2 Ga 2.96-3.02, 4 Li 3.10-3.21, 4 In 3.12-3.22
Ga  0.4636  0.2433  0.9180  1 Ga 2.82, 4 In 2.96-3.14, 3 Li 3.01-3.04
Ga  0.5364  0.7567  0.0820  1 Ga 2.82, 4 In 2.96-3.14, 3 Li 3.01-3.04

The density is 5807 kg/m³. For the energy relative to the elements, the calculation gives -0.13 eV/atom. The value obtained for the density of states at the Fermi level is 3.25 states/eV/cell.



# 10
An optimized crystal structure of Rb2BF. Source: Alexandria via LeMat-Bulk, functional PBE.

Cell lengths 7.1703, 7.1703, 7.1703 Å; angles 114.20, 114.20, 100.39 degrees
Closest atoms and distances in Å follow each position.
Fractional positions:
Rb  0.0596  0.6250  0.9346  2 F 2.68
Rb  0.3750  0.3096  0.4346  2 F 2.68
Rb  0.6904  0.1250  0.0654  2 F 2.68
Rb  0.8750  0.9404  0.5654  2 F 2.68
B  0.2500  0.7500  0.5000  4 Rb 3.34
B  0.5000  0.5000  0.0000  4 Rb 3.34
F  0.0000  0.0000  0.0000  4 Rb 2.68
F  0.7500  0.2500  0.5000  4 Rb 2.68

The density is 2393 kg/m³. The calculation puts the formation energy without anion corrections at -0.21 eV/atom. The value obtained for the density of states at the Fermi level is 0.83 states/eV/cell. The calculation puts the energy above the most stable polymorph in this dataset at 0 meV per atom.



# 11
An optimized crystal structure of Ac2CeGe3Pd12. Source: Alexandria via LeMat-Bulk, functional PBE.

Cell lengths 7.9423, 7.9423, 7.9423 Å; angles 64.58, 64.58, 64.58 degrees
Closest atoms and distances in Å follow each position.
Fractional positions:
Ac  0.1016  0.1016  0.1016  6 Pd 2.96
Ac  0.8984  0.8984  0.8984  6 Pd 2.96
Ce  0.5000  0.5000  0.5000  6 Pd 2.69
Ge  0.0000  0.5000  0.5000  6 Pd 2.43-2.47
Ge  0.5000  0.0000  0.5000  6 Pd 2.43-2.47
Ge  0.5000  0.5000  0.0000  6 Pd 2.43-2.47
Pd  0.1093  0.6424  0.6424  1 Ge 2.47, 1 Ce 2.69
Pd  0.1475  0.1475  0.5976  2 Ge 2.43
Pd  0.1475  0.5976  0.1475  2 Ge 2.43
Pd  0.3576  0.3576  0.8907  1 Ge 2.47, 1 Ce 2.69
Pd  0.3576  0.8907  0.3576  1 Ge 2.47, 1 Ce 2.69
Pd  0.4024  0.8525  0.8525  2 Ge 2.43
Pd  0.5976  0.1475  0.1475  2 Ge 2.43
Pd  0.6424  0.1093  0.6424  1 Ge 2.47, 1 Ce 2.69
Pd  0.6424  0.6424  0.1093  1 Ge 2.47, 1 Ce 2.69
Pd  0.8525  0.4024  0.8525  2 Ge 2.43
Pd  0.8525  0.8525  0.4024  2 Ge 2.43
Pd  0.8907  0.3576  0.3576  1 Ge 2.47, 1 Ce 2.69

The density is 8898 kg/m³. For the energy relative to the elements, the calculation gives -0.36 eV/atom. The value obtained for the density of states at the Fermi level is 10.13 states/eV/cell.